# 1
Computed, not measured: a relaxed Cd8Cu crystal at the GGA-PBE level of DFT.

Output
Magnetic moment in μB per formula unit: 0.00
DOS(E_F) in states/eV/f.u.: 3.248
DFT formation energy in eV per atom: 0.064
Raw total energy in eV per cell: -21.683

a = 9.2110 Å, b = 9.2110 Å, c = 4.5309 Å
α = 90.00°, β = 90.00°, γ = 90.00°
Last column: nearest neighbours and their distance in Å.
Space group I4/mmm (No. 139)
Inequivalent atoms, fractional coordinates:
Cd1 0.0000 0.3241 0.0000 [8 per cell]  1 Cu 2.98, 11 Cd 3.10-3.24
Cd2 0.1608 0.1608 0.5000 [8 per cell]  10 Cd 2.96-3.25, 2 Cu 3.09
Cu1 0.0000 0.0000 0.0000 [2 per cell]  12 Cd 2.98-3.09


# 2
Computed, not measured: a relaxed Er5TlCo4 crystal at the GGA-PBE level of DFT.

Output
Magnetic moment in μB per formula unit: 1.85
DOS(E_F) in states/eV/f.u.: 4.253
DFT formation energy in eV per atom: -0.228
Raw total energy in eV per cell: -55.880

a = 3.3109 Å, b = 3.3109 Å, c = 18.2491 Å
α = 90.00°, β = 90.00°, γ = 90.00°
Last column: nearest neighbours and their distance in Å.
Space group P4/mmm (No. 123)
Inequivalent atoms, fractional coordinates:
Er1 0.0000 0.0000 0.0000 [1 per cell]  8 Co 2.87
Er2 0.0000 0.0000 0.1810 [2 per cell]  8 Co 2.86-2.91
Er3 0.0000 0.0000 0.3622 [2 per cell]  4 Co 2.82
Tl1 0.5000 0.5000 0.5000 [1 per cell]  4 Tl 3.31, 8 Er 3.44
Co1 0.5000 0.5000 0.0906 [2 per cell]  8 Er 2.86-2.87
Co2 0.5000 0.5000 0.2757 [2 per cell]  8 Er 2.82-2.91


Which value of DFT formation energy does entry 2 give? -0.228 eV per atom


Which of these has the highest DOS(E_F)? Er5TlCo4


Number 1 is which compound? Cd8Cu


What is the magnetic moment in the second record? 1.85 μB per formula unit